Entry 1:
A plane-wave DFT calculation with PBE was carried out for a relaxed structure of Ta3Tl.

```
Ta3Tl
1.0
10.1321 -0.0280 -0.0164
9.6871 2.9700 -0.0164
9.6871 1.4380 2.5987
Ta Tl
3 1
direct
0.7522 0.7522 0.7522 Ta
0.5000 0.5000 0.5000 Ta
0.2478 0.2478 0.2478 Ta
0.0000 0.0000 0.0000 Tl
```

Summary:
Theoretical density (g cm⁻³): 15.63
Space group: R-3m (166)
Calculated total energy (eV/f.u.): -36.10

=====

Entry 2:
A plane-wave DFT calculation with PBE was carried out for a relaxed structure of Ta5Tl3.

```
Ta5Tl3
1.0
-6.4778 4.9089 -0.6491
4.1344 -5.5943 -4.2541
-3.3097 -5.1524 5.2744
Tl Ta
6 10
direct
0.3292 0.1712 0.4999 Tl
0.2285 0.7289 0.8409 Tl
0.7337 0.7657 0.9998 Tl
0.7706 0.2711 0.1591 Tl
0.2654 0.2344 0.0002 Tl
0.6701 0.8289 0.5001 Tl
0.7603 0.2605 0.5193 Ta
0.9210 0.7564 0.6908 Ta
0.0782 0.2437 0.3093 Ta
0.6325 0.3236 0.8401 Ta
0.3666 0.6764 0.1599 Ta
0.2552 0.4206 0.6907 Ta
0.8232 0.1330 0.8402 Ta
0.2389 0.7395 0.4807 Ta
0.7440 0.5794 0.3092 Ta
0.1759 0.8670 0.1597 Ta
```

Summary:
Theoretical density (g cm⁻³): 15.70
Space group: C2/m (12)
Calculated total energy (eV/f.u.): -62.28

=====

Entry 3:
A plane-wave DFT calculation with PBE was carried out for a relaxed structure of Ta5Tl.

```
Ta5Tl
1.0
-3.3854 0.3562 -0.7074
0.7342 -1.6488 -4.3436
-1.5151 -5.6167 4.4227
Ta Tl
5 1
direct
0.0000 0.3368 0.6737 Ta
0.0000 0.6632 0.3263 Ta
0.5000 0.1770 0.3539 Ta
0.5000 0.5000 0.0000 Ta
0.5000 0.8230 0.6461 Ta
0.0000 0.0000 0.0000 Tl
```

Summary:
Theoretical density (g cm⁻³): 16.28
Energy relative to the lowest polymorph listed for this composition (eV per atom): 0.0000
Space group: Cmmm (65)
Calculated total energy (eV/f.u.): -60.47

=====

Entry 4:
A plane-wave DFT calculation with PBE was carried out for a relaxed structure of TaTl7.

```
TaTl7
1.0
0.0000 4.7564 4.7564
4.7564 0.0000 4.7564
4.7564 4.7564 0.0000
Tl Ta
7 1
direct
0.0000 0.0000 0.5000 Tl
0.0000 0.5000 0.0000 Tl
0.5000 0.0000 0.5000 Tl
0.5000 0.5000 0.5000 Tl
0.5000 0.5000 0.0000 Tl
0.0000 0.5000 0.5000 Tl
0.5000 0.0000 0.0000 Tl
0.0000 0.0000 0.0000 Ta
```

Summary:
Theoretical density (g cm⁻³): 12.44
Space group: Fm-3m (225)
Calculated total energy (eV/f.u.): -24.84

=====

Entry 5:
A plane-wave DFT calculation with PBE was carried out for a relaxed structure of Ta3Tl.

```
Ta3Tl
1.0
2.9004 0.0000 0.0000
0.0000 2.9004 0.0000
0.0000 0.0000 9.3281
Tl Ta
1 3
direct
0.0000 0.0000 0.0000 Tl
0.5000 0.5000 0.2575 Ta
0.0000 0.0000 0.5000 Ta
0.5000 0.5000 0.7425 Ta
```

Summary:
Theoretical density (g cm⁻³): 15.81
Space group: P4/mmm (123)
Calculated total energy (eV/f.u.): -36.39

=====

Entry 6:
A plane-wave DFT calculation with PBE was carried out for a relaxed structure of Ta3Tl.

```
Ta3Tl
1.0
-0.5736 2.5019 4.9922
-4.6783 -1.8787 -2.4688
4.7005 -2.9469 -0.8558
Ta Tl
3 1
direct
0.0000 0.5000 0.5000 Ta
0.0000 0.0000 0.0000 Ta
0.5000 0.0000 0.5000 Ta
0.5000 0.5000 0.0000 Tl
```

Summary:
Theoretical density (g cm⁻³): 16.09
Space group: R-3m (166)
Calculated total energy (eV/f.u.): -36.49

=====

Entry 7:
A plane-wave DFT calculation with PBE was carried out for a relaxed structure of TaTl4.

```
TaTl4
1.0
7.0329 -0.6789 5.4441
7.8762 3.7673 1.8257
-8.7436 0.2362 -1.7476
Tl Ta
4 1
direct
0.4137 0.4137 0.0000 Tl
0.7500 0.2500 0.5000 Tl
0.2500 0.7500 0.5000 Tl
0.5863 0.5863 0.0000 Tl
0.0000 0.0000 0.0000 Ta
```

Summary:
Theoretical density (g cm⁻³): 11.71
Energy relative to the lowest polymorph listed for this composition (eV per atom): 0.3591
Space group: I4/mmm (139)
Calculated total energy (eV/f.u.): -16.75

=====

Entry 8:
A plane-wave DFT calculation with PBE was carried out for a relaxed structure of TaTl3.

```
TaTl3
1.0
5.4479 -6.1718 0.0000
5.4479 6.1718 0.0000
0.0000 0.0000 3.2394
Ta Tl
2 6
direct
0.4149 0.5851 0.7500 Ta
0.5851 0.4149 0.2500 Ta
0.1398 0.3864 0.2500 Tl
0.8602 0.6136 0.7500 Tl
0.6136 0.8602 0.2500 Tl
0.1677 0.8323 0.2500 Tl
0.8323 0.1677 0.7500 Tl
0.3864 0.1398 0.7500 Tl
```

Summary:
Theoretical density (g cm⁻³): 12.11
Space group: Cmcm (63)
Calculated total energy (eV/f.u.): -17.23

=====

Entry 9:
A plane-wave DFT calculation with PBE was carried out for a relaxed structure of TaTl5.

```
TaTl5
1.0
-5.5696 0.4336 -1.5060
-4.3960 -1.9597 -3.2110
-4.5133 -6.4657 5.9693
Tl Ta
5 1
direct
0.9595 0.9595 0.5681 Tl
0.5569 0.5569 0.2286 Tl
0.3266 0.3266 0.9632 Tl
0.6708 0.6708 0.7166 Tl
0.2584 0.2584 0.3846 Tl
0.0611 0.0611 0.9723 Ta
```

Summary:
Theoretical density (g cm⁻³): 11.82
Energy relative to the lowest polymorph listed for this composition (eV per atom): 0.0000
Space group: Cm (8)
Calculated total energy (eV/f.u.): -21.30

=====

Entry 10:
A plane-wave DFT calculation with PBE was carried out for a relaxed structure of TaTl3.

```
TaTl3
1.0
-0.9681 -4.2430 3.8349
3.9235 -3.3226 -2.6857
4.1611 2.1457 3.4245
Tl Ta
6 2
direct
0.2500 0.5000 0.0000 Tl
0.7500 0.5000 0.0000 Tl
0.0000 0.2500 0.5000 Tl
0.5000 0.0000 0.7500 Tl
0.5000 0.0000 0.2500 Tl
0.0000 0.7500 0.5000 Tl
0.5000 0.5000 0.5000 Ta
0.0000 0.0000 0.0000 Ta
```

Summary:
Theoretical density (g cm⁻³): 13.51
Space group: Pm-3n (223)
Calculated total energy (eV/f.u.): -15.52

=====

Entry 11:
A plane-wave DFT calculation with PBE was carried out for a relaxed structure of Ta3Tl.

```
Ta3Tl
1.0
4.7704 0.0000 0.0000
2.3852 4.1313 0.0000
2.3852 1.3771 3.8950
Tl Ta
1 3
direct
0.2500 0.2500 0.2500 Tl
0.7500 0.7500 0.7500 Ta
0.5000 0.5000 0.5000 Ta
0.0000 0.0000 0.0000 Ta
```

Summary:
Theoretical density (g cm⁻³): 16.16
Space group: Fm-3m (225)
Calculated total energy (eV/f.u.): -36.08

=====

Entry 12:
A plane-wave DFT calculation with PBE was carried out for a relaxed structure of Ta3Tl.

```
Ta3Tl
1.0
3.4634 0.0000 0.0000
0.0000 3.4634 0.0000
0.0000 0.0000 6.4352
Ta Tl
3 1
direct
0.0000 0.0000 0.0221 Ta
0.5000 0.5000 0.2500 Ta
0.0000 0.0000 0.4779 Ta
0.5000 0.5000 0.7500 Tl
```

Summary:
Theoretical density (g cm⁻³): 16.07
Space group: P4/mmm (123)
Calculated total energy (eV/f.u.): -36.99

=====

Entry 13:
A plane-wave DFT calculation with PBE was carried out for a relaxed structure of Ta3Tl.

```
Ta3Tl
1.0
-2.5486 2.4975 3.7551
-1.5647 -0.0227 4.9381
4.2073 2.5875 2.0131
Ta Tl
3 1
direct
0.5000 0.5000 0.5000 Ta
0.7480 0.7480 0.7417 Ta
0.2520 0.2520 0.2583 Ta
0.0000 0.0000 0.0000 Tl
```

Summary:
Theoretical density (g cm⁻³): 15.99
Space group: C2/m (12)
Calculated total energy (eV/f.u.): -36.38

=====

Entry 14:
A plane-wave DFT calculation with PBE was carried out for a relaxed structure of TaTl8.

```
TaTl8
1.0
-6.3073 6.3073 1.6496
6.3073 -6.3073 1.6496
6.3073 6.3073 -1.6496
Tl Ta
8 1
direct
0.0000 0.6695 0.6695 Tl
0.3530 0.3530 0.7059 Tl
0.0000 0.3305 0.3305 Tl
0.6470 0.3530 0.0000 Tl
0.6695 0.0000 0.6695 Tl
0.3305 0.0000 0.3305 Tl
0.3530 0.6470 0.0000 Tl
0.6470 0.6470 0.2941 Tl
0.0000 0.0000 0.0000 Ta
```

Summary:
Theoretical density (g cm⁻³): 11.49
Space group: I4/mmm (139)
Calculated total energy (eV/f.u.): -27.57

=====

Entry 15:
A plane-wave DFT calculation with PBE was carried out for a relaxed structure of Ta5Tl.

```
Ta5Tl
1.0
1.4807 -4.9085 2.0219
-3.6502 -4.1257 0.1686
0.5623 -4.3167 -3.3800
Ta Tl
5 1
direct
0.1305 0.6232 0.6232 Ta
0.2500 0.2500 0.2500 Ta
0.6232 0.6232 0.1305 Ta
0.6232 0.1305 0.6232 Ta
0.6232 0.6232 0.6232 Ta
0.0000 0.0000 0.0000 Tl
```

Summary:
Theoretical density (g cm⁻³): 15.56
Energy relative to the lowest polymorph listed for this composition (eV per atom): 0.2557
Space group: F-43m (216)
Calculated total energy (eV/f.u.): -58.94

=====

Entry 16:
A plane-wave DFT calculation with PBE was carried out for a relaxed structure of TaTl5.

```
TaTl5
1.0
-9.6628 3.0440 -0.1542
8.2856 -5.7792 -0.7797
-0.5253 -1.4179 4.9276
Tl Ta
5 1
direct
0.7658 0.2342 0.5000 Tl
0.1004 0.8996 0.5000 Tl
0.4632 0.5368 0.5000 Tl
0.3574 0.6426 0.0000 Tl
0.6496 0.3504 0.0000 Tl
0.9969 0.0031 0.0000 Ta
```

Summary:
Theoretical density (g cm⁻³): 12.10
Energy relative to the lowest polymorph listed for this composition (eV per atom): 0.0397
Space group: Amm2 (38)
Calculated total energy (eV/f.u.): -21.06

=====

Entry 17:
A plane-wave DFT calculation with PBE was carried out for a relaxed structure of TaTl3.

```
TaTl3
1.0
3.1401 0.1436 0.0000
-0.4393 3.1125 0.0000
0.0000 0.0000 10.1766
Tl Ta
3 1
direct
0.5000 0.5000 0.7788 Tl
0.0000 0.0000 0.5000 Tl
0.5000 0.5000 0.2212 Tl
0.0000 0.0000 0.0000 Ta
```

Summary:
Theoretical density (g cm⁻³): 13.17
Space group: Cmmm (65)
Calculated total energy (eV/f.u.): -17.01

=====

Entry 18:
A plane-wave DFT calculation with PBE was carried out for a relaxed structure of Ta5Tl.

```
Ta5Tl
1.0
-3.6559 0.2322 4.3103
0.9508 -4.9112 -2.6409
3.4053 -0.9206 2.9379
Ta Tl
5 1
direct
0.5000 0.0000 0.5000 Ta
0.6667 0.3333 0.0000 Ta
0.3333 0.6667 0.0000 Ta
0.5000 0.5000 0.5000 Ta
0.0000 0.5000 0.5000 Ta
0.0000 0.0000 0.0000 Tl
```

Summary:
Theoretical density (g cm⁻³): 14.48
Energy relative to the lowest polymorph listed for this composition (eV per atom): 0.4851
Space group: P6/mmm (191)
Calculated total energy (eV/f.u.): -57.56

=====

Entry 19:
A plane-wave DFT calculation with PBE was carried out for a relaxed structure of TaTl3.

```
TaTl3
1.0
-2.2236 2.2236 9.7036
2.2236 -2.2236 9.7036
2.2236 2.2236 -9.7036
Tl Ta
6 2
direct
0.0000 0.5000 0.5000 Tl
0.2500 0.7500 0.5000 Tl
0.7500 0.2500 0.5000 Tl
0.1249 0.1249 0.0000 Tl
0.5000 0.0000 0.5000 Tl
0.8751 0.8751 0.0000 Tl
0.3868 0.3868 0.0000 Ta
0.6132 0.6132 0.0000 Ta
```

Summary:
Theoretical density (g cm⁻³): 13.74
Space group: I4/mmm (139)
Calculated total energy (eV/f.u.): -16.07

=====

Entry 20:
A plane-wave DFT calculation with PBE was carried out for a relaxed structure of Ta3Tl5.

```
Ta3Tl5
1.0
0.8800 6.0375 0.3853
-4.0126 -2.3690 3.9574
4.0312 -0.8172 3.5982
Tl Ta
5 3
direct
0.0000 0.0000 0.0000 Tl
0.5000 0.0000 0.0000 Tl
0.0000 0.5000 0.0000 Tl
0.2381 0.7619 0.5000 Tl
0.7619 0.2381 0.5000 Tl
0.5000 0.5000 0.0000 Ta
0.7044 0.7044 0.5000 Ta
0.2956 0.2956 0.5000 Ta
```

Summary:
Theoretical density (g cm⁻³): 14.14
Energy relative to the lowest polymorph listed for this composition (eV per atom): 0.0000
Space group: Cmmm (65)
Calculated total energy (eV/f.u.): -42.47

=====

Values of energy of formation from the pure elements, in order: 454.9, 509.7, 193.2, 447.1, 384.0, 358.9, 912.9, 430.8, 397.7, 858.4, 460.4, 232.8, 385.6, 357.3, 449.0, 437.4, 484.6, 678.3, 720.3, 614.5, all in meV per atom.
Values of size of the total moment, in order: 0.00, 0.00, 0.00, 1.17, 0.00, 0.00, 1.05, 0.00, 0.00, 0.00, 0.00, 0.00, 0.00, 0.00, 0.00, 0.00, 0.00, 0.00, 0.00, 0.00, all in μB per formula unit.